[1]
## Be2C3 (PBEsol)

Data for a relaxed structure of Be2C3.

Cell lengths 2.6496, 2.6496, 7.1467 Å; angles 79.32, 79.32, 60.00 degrees
Fractional coordinates of all 5 atoms:
1 C 0.8333 0.8333 0.5002
2 C 0.0000 0.0000 0.0000
3 Be 0.3652 0.3652 0.9044
4 C 0.1667 0.1667 0.4998
5 Be 0.6348 0.6348 0.0956

- Volume: 8.49 A^3/atom
- Total magnetization: 0.00 μB per formula unit
- Symmetry: R-3m (166)
- Raw total energy: -34.5 eV per cell


[2]
## BeCuBr (PBEsol)

Data for a relaxed structure of BeCuBr.

Cell lengths 4.1034, 4.1034, 4.1034 Å; angles 60.00, 60.00, 60.00 degrees
Fractional coordinates of all 3 atoms:
1 Be 0.2500 0.2500 0.2500
2 Cu 0.5000 0.5000 0.5000
3 Br 0.0000 0.0000 0.0000

- Formation energy from raw total energies: 687 meV per atom
- Relative energy among the computed polymorphs: 449 meV per atom
- Volume: 16.29 A^3/atom
- Total magnetization: 0.00 μB per formula unit
- Symmetry: F-43m (216)
- Raw total energy: -8.1 eV per cell


[3]
## Tl2AsPbI (PBEsol)

Data for a relaxed structure of Tl2AsPbI.

Cell lengths 5.8317, 5.5386, 5.5386 Å; angles 90.00, 90.00, 90.00 degrees
Fractional coordinates of all 5 atoms:
1 Tl 0.0000 0.5000 0.0000
2 Tl 0.0000 0.0000 0.5000
3 I 0.5000 0.5000 0.5000
4 As 0.0000 0.0000 0.0000
5 Pb 0.5000 0.0000 0.0000

- Formation energy from raw total energies: 139 meV per atom
- Volume: 35.78 A^3/atom
- Total magnetization: 0.00 μB per formula unit
- Symmetry: P4/mmm (123)
- Raw total energy: -15.4 eV per cell


[4]
## Cu3Mo (PBEsol)

Data for a relaxed structure of Cu3Mo.

Cell lengths 2.4865, 4.6022, 4.6022 Å; angles 106.75, 90.00, 90.00 degrees
Fractional coordinates of all 4 atoms:
1 Cu 0.5000 0.0000 0.5000
2 Cu 0.5000 0.5000 0.0000
3 Cu 0.0000 0.0000 0.0000
4 Mo 0.0000 0.5000 0.5000

- Volume: 12.61 A^3/atom
- Total magnetization: 0.00 μB per formula unit
- Symmetry: Cmmm (65)
- Raw total energy: -23.6 eV per cell


[5]
## P4PbCl (PBEsol)

Data for a relaxed structure of P4PbCl.

Cell lengths 5.6072, 5.6072, 5.6072 Å; angles 60.00, 60.00, 60.00 degrees
Fractional coordinates of all 6 atoms:
1 Cl 0.0000 0.0000 0.0000
2 P 0.3496 0.3496 0.3496
3 P 0.3496 0.9511 0.3496
4 P 0.9511 0.3496 0.3496
5 P 0.3496 0.3496 0.9511
6 Pb 0.7500 0.7500 0.7500

- Formation energy from raw total energies: 83 meV per atom
- Volume: 20.78 A^3/atom
- Total magnetization: 0.00 μB per formula unit
- Symmetry: F-43m (216)
- Raw total energy: -28.7 eV per cell


[6]
## MnZnMo (PBEsol)

Data for a relaxed structure of MnZnMo.

Cell lengths 3.9965, 3.9965, 3.9965 Å; angles 60.00, 60.00, 60.00 degrees
Fractional coordinates of all 3 atoms:
1 Mn 0.2500 0.2500 0.2500
2 Mo 0.0000 0.0000 0.0000
3 Zn 0.5000 0.5000 0.5000

- Relative energy among the computed polymorphs: 444 meV per atom
- Volume: 15.05 A^3/atom
- Total magnetization: 0.96 μB per formula unit
- Symmetry: F-43m (216)
- Raw total energy: -21.2 eV per cell


[7]
## Sb3P (PBEsol)

Data for a relaxed structure of Sb3P.

Cell lengths 5.9131, 6.0481, 6.0481 Å; angles 94.60, 90.00, 90.00 degrees
Fractional coordinates of all 8 atoms:
1 Sb 0.7500 0.7673 0.7082
2 Sb 0.2500 0.7547 0.2453
3 Sb 0.7500 0.2918 0.2327
4 P 0.7500 0.7225 0.2775
5 Sb 0.2500 0.2327 0.2918
6 Sb 0.7500 0.2453 0.7547
7 Sb 0.2500 0.7082 0.7673
8 P 0.2500 0.2775 0.7225

- Formation energy from raw total energies: 106 meV per atom
- Relative energy among the computed polymorphs: 0 meV per atom
- Volume: 26.95 A^3/atom
- Total magnetization: 0.00 μB per formula unit
- Symmetry: Cmcm (63)
- Raw total energy: -38.1 eV per cell


[8]
## CrMo2Au (PBEsol)

Data for a relaxed structure of CrMo2Au.

Cell lengths 3.8316, 3.8316, 4.8168 Å; angles 113.44, 113.44, 90.00 degrees
Fractional coordinates of all 4 atoms:
1 Mo 0.7500 0.2500 0.5000
2 Cr 0.0000 0.0000 0.0000
3 Au 0.5000 0.5000 0.0000
4 Mo 0.2500 0.7500 0.5000

- Volume: 14.62 A^3/atom
- Total magnetization: 1.02 μB per formula unit
- Symmetry: I4/mmm (139)
- Raw total energy: -36.6 eV per cell


[9]
## Nb3ReH (PBEsol)

Data for a relaxed structure of Nb3ReH.

Cell lengths 4.1318, 4.1318, 4.1318 Å; angles 90.00, 90.00, 90.00 degrees
Fractional coordinates of all 5 atoms:
1 Nb 0.0000 0.0000 0.5000
2 Re 0.5000 0.5000 0.5000
3 Nb 0.0000 0.5000 0.0000
4 H 0.0000 0.0000 0.0000
5 Nb 0.5000 0.0000 0.0000

- Volume: 14.11 A^3/atom
- Total magnetization: 0.00 μB per formula unit
- Symmetry: Pm-3m (221)
- Raw total energy: -48.4 eV per cell


[10]
## Ni2AgIr (PBEsol)

Data for a relaxed structure of Ni2AgIr.

Cell lengths 4.1780, 4.1780, 4.1780 Å; angles 60.00, 60.00, 60.00 degrees
Fractional coordinates of all 4 atoms:
1 Ni 0.2500 0.2500 0.2500
2 Ir 0.5000 0.5000 0.5000
3 Ag 0.0000 0.0000 0.0000
4 Ni 0.7500 0.7500 0.7500

- Relative energy among the computed polymorphs: 101 meV per atom
- Volume: 12.89 A^3/atom
- Total magnetization: 1.99 μB per formula unit
- Symmetry: Fm-3m (225)
- Raw total energy: -24.1 eV per cell


[11]
## Li2CaAl (PBEsol)

Data for a relaxed structure of Li2CaAl.

Cell lengths 4.1559, 4.9592, 5.3714 Å; angles 117.49, 112.76, 90.00 degrees
Fractional coordinates of all 4 atoms:
1 Li 0.9775 0.9775 0.9550
2 Ca 0.7493 0.2493 0.4987
3 Al 0.5196 0.5196 0.0393
4 Li 0.2535 0.7535 0.5070

- Volume: 22.09 A^3/atom
- Total magnetization: 0.00 μB per formula unit
- Symmetry: Imm2 (44)
- Raw total energy: -10.3 eV per cell